[1]
A plane-wave DFT calculation with PBE was carried out for a relaxed LiTcPd crystal.

Calculated values
- calculated formation energy (eV per atom) = 0.049
- SG = P4/nmm, No. 129
- M_tot (μB/cell) = 0.00
- calculated density (g/cm³) = 8.1
- E above lowest polymorph (meV/atom) = 167

abc: 3.560 3.560 6.857
angles: 90.00 90.00 90.00
Fractional coordinates of all 6 atoms:
Li: 0.000 0.500 0.178
Li: 0.500 0.000 0.822
Pd: 0.000 0.500 0.817
Pd: 0.500 0.000 0.183
Tc: 0.000 0.000 0.500
Tc: 0.500 0.500 0.500

***

[2]
A plane-wave DFT calculation with PBE was carried out for a relaxed LiTcPd crystal.

Calculated values
- calculated formation energy (eV per atom) = 0.394
- SG = P6_3/mmc, No. 194
- M_tot (μB/cell) = 2.51
- calculated density (g/cm³) = 7.7
- E above lowest polymorph (meV/atom) = 512

abc: 4.430 4.430 5.373
angles: 90.00 90.00 120.00
Each line ends with the local moment (μB).
Fractional coordinates of all 6 atoms:
Li: 0.000 0.000 0.000  -0.01
Li: 0.000 0.000 0.500  0.00
Pd: 0.333 0.667 0.250  0.10
Pd: 0.667 0.333 0.750  0.10
Tc: 0.667 0.333 0.250  1.11
Tc: 0.333 0.667 0.750  1.11

***

[3]
A plane-wave DFT calculation with PBE was carried out for a relaxed LiTcPd crystal.

Calculated values
- calculated formation energy (eV per atom) = 0.015
- SG = Pnma, No. 62
- M_tot (μB/cell) = 0.00
- calculated density (g/cm³) = 7.6
- E above lowest polymorph (meV/atom) = 133

abc: 8.588 2.719 7.953
angles: 90.00 90.00 90.00
Fractional coordinates of all 12 atoms:
Pd: 0.304 0.250 0.361
Pd: 0.696 0.750 0.639
Pd: 0.804 0.250 0.139
Pd: 0.196 0.750 0.861
Li: 0.419 0.250 0.676
Li: 0.081 0.750 0.176
Li: 0.581 0.750 0.324
Li: 0.919 0.250 0.824
Tc: 0.108 0.750 0.556
Tc: 0.608 0.750 0.944
Tc: 0.892 0.250 0.444
Tc: 0.392 0.250 0.056

***

[4]
A plane-wave DFT calculation with PBE was carried out for a relaxed Li2TcPd crystal.

Calculated values
- calculated formation energy (eV per atom) = 0.071
- SG = R-3m, No. 166
- M_tot (μB/cell) = 0.00
- calculated density (g/cm³) = 6.2
- E above lowest polymorph (meV/atom) = 0

abc: 2.691 2.691 9.502
angles: 81.86 81.86 60.00
Fractional coordinates of all 4 atoms:
Li: 0.090 0.090 0.729
Li: 0.910 0.910 0.271
Tc: 0.000 0.000 0.000
Pd: 0.500 0.500 0.500

***

[5]
A plane-wave DFT calculation with PBE was carried out for a relaxed LiTcPd crystal.

Calculated values
- calculated formation energy (eV per atom) = 0.047
- SG = P6_3/mmc, No. 194
- M_tot (μB/cell) = 0.00
- calculated density (g/cm³) = 8.6
- E above lowest polymorph (meV/atom) = 165

abc: 7.586 4.915 4.381
angles: 90.00 90.00 90.00
Fractional coordinates of all 12 atoms:
Tc: 0.500 0.000 0.500
Tc: 0.000 0.000 0.000
Tc: 0.000 0.500 0.000
Tc: 0.500 0.500 0.500
Li: 0.667 0.250 0.000
Li: 0.167 0.250 0.500
Li: 0.333 0.750 0.000
Li: 0.833 0.750 0.500
Pd: 0.334 0.250 0.000
Pd: 0.834 0.250 0.500
Pd: 0.166 0.750 0.500
Pd: 0.666 0.750 0.000

***

[6]
A plane-wave DFT calculation with PBE was carried out for a relaxed LiTcPd crystal.

Calculated values
- calculated formation energy (eV per atom) = -0.054
- SG = C2/m, No. 12
- M_tot (μB/cell) = 0.00
- calculated density (g/cm³) = 8.2
- E above lowest polymorph (meV/atom) = 64

abc: 14.413 4.521 4.521
angles: 145.34 145.28 34.72
Fractional coordinates of all 6 atoms:
Pd: 0.606 0.708 0.292
Pd: 0.394 0.292 0.708
Li: 0.725 0.274 0.726
Li: 0.275 0.726 0.274
Tc: 0.071 0.274 0.726
Tc: 0.929 0.726 0.274